! PBE Na2AlCoPb, relaxed; values from VASP
! - VASP energy: -2.39 eV/atom
&SYSTEM
  ibrav = 0, nat = 5, ntyp = 4
/
ATOMIC_SPECIES
Pb 207.20 Pb.upf
Na 22.99 Na.upf
Co 58.93 Co.upf
Al 26.98 Al.upf
CELL_PARAMETERS angstrom
-4.169 -3.309 -2.583
3.124 -0.014 -5.025
2.454 -4.292 1.537
ATOMIC_POSITIONS angstrom
Pb 0.000 0.000 0.000
Na 1.562 -0.007 -2.512
Na -2.085 -1.655 -1.292
Co 0.704 -3.807 -3.035
Al 1.227 -2.146 0.769

! PBE NaY2AlCo, relaxed; values from VASP
! - VASP energy: -5.09 eV/atom
&SYSTEM
  ibrav = 0, nat = 5, ntyp = 4
/
ATOMIC_SPECIES
Y 88.91 Y.upf
Na 22.99 Na.upf
Co 58.93 Co.upf
Al 26.98 Al.upf
CELL_PARAMETERS angstrom
-4.619 1.334 -2.022
-1.109 -5.035 -0.788
-1.940 -0.242 4.271
ATOMIC_POSITIONS angstrom
Y -0.554 -2.517 -0.394
Y -2.309 0.667 -1.011
Na -3.834 -1.971 0.730
Co 0.000 0.000 0.000
Al -0.970 -0.121 2.136

! PBE Nb2Al4Co, relaxed; values from VASP
! - VASP energy: -5.69 eV/atom
&SYSTEM
  ibrav = 0, nat = 7, ntyp = 3
/
ATOMIC_SPECIES
Nb 92.91 Nb.upf
Co 58.93 Co.upf
Al 26.98 Al.upf
CELL_PARAMETERS angstrom
-2.341 3.717 -0.919
-3.692 -1.905 1.699
-1.554 3.269 6.219
ATOMIC_POSITIONS angstrom
Nb -2.692 1.430 1.683
Nb -4.895 3.651 5.316
Co 0.000 0.000 0.000
Al -2.082 2.415 4.112
Al -5.504 2.666 2.886
Al -1.846 -0.953 0.849
Al -1.171 1.859 -0.460

! PBE NbAlCo2, relaxed; values from VASP
! - VASP energy: -6.75 eV/atom
&SYSTEM
  ibrav = 0, nat = 8, ntyp = 3
/
ATOMIC_SPECIES
Nb 92.91 Nb.upf
Co 58.93 Co.upf
Al 26.98 Al.upf
CELL_PARAMETERS angstrom
6.535 0.000 0.000
0.000 6.535 0.000
3.267 3.267 2.693
ATOMIC_POSITIONS angstrom
Nb 0.000 0.000 0.000
Nb 6.535 3.267 1.346
Co 4.883 1.634 0.673
Co 1.652 4.901 0.673
Co 4.901 4.920 2.019
Co 8.169 8.150 2.019
Al 3.267 3.267 0.000
Al 3.267 6.535 1.346

! PBE NbAl2Co2, relaxed; values from VASP
! - VASP energy: -6.66 eV/atom
&SYSTEM
  ibrav = 0, nat = 10, ntyp = 3
/
ATOMIC_SPECIES
Nb 92.91 Nb.upf
Co 58.93 Co.upf
Al 26.98 Al.upf
CELL_PARAMETERS angstrom
-5.677 -4.135 -0.954
3.548 -5.500 2.721
-0.876 0.640 2.435
ATOMIC_POSITIONS angstrom
Nb 0.000 0.000 0.000
Nb -1.064 -4.817 0.883
Co 0.980 -4.042 2.874
Co -1.271 -7.019 2.847
Co -3.985 -4.953 1.328
Co -1.733 -1.976 1.355
Al 0.985 -6.323 2.016
Al -2.712 -7.061 0.881
Al -3.113 -3.311 -0.249
Al 0.583 -2.574 0.886

! PBE Nb2AlCo, relaxed; values from VASP
! - ΔE to the lowest computed polymorph: 0.000 eV/atom
! - VASP energy: -7.94 eV/atom
&SYSTEM
  ibrav = 0, nat = 8, ntyp = 3
/
ATOMIC_SPECIES
Nb 92.91 Nb.upf
Al 26.98 Al.upf
Co 58.93 Co.upf
CELL_PARAMETERS angstrom
4.810 0.000 0.000
0.000 5.147 0.346
0.000 -1.548 4.921
ATOMIC_POSITIONS angstrom
Nb 3.608 -0.786 3.193
Nb 1.203 4.385 2.074
Nb 1.203 0.339 4.839
Nb 3.608 3.260 0.428
Al 3.608 0.642 0.939
Al 1.203 2.957 4.328
Co 0.000 1.800 2.634
Co 2.405 1.800 2.634

! PBE NbAl2Co2, relaxed; values from VASP
! - VASP energy: -6.66 eV/atom
&SYSTEM
  ibrav = 0, nat = 10, ntyp = 3
/
ATOMIC_SPECIES
Nb 92.91 Nb.upf
Co 58.93 Co.upf
Al 26.98 Al.upf
CELL_PARAMETERS angstrom
-2.109 -6.439 1.676
3.730 -2.600 -5.295
2.187 -0.280 1.678
ATOMIC_POSITIONS angstrom
Nb 0.000 0.000 0.000
Nb 0.810 -4.520 -1.810
Co 2.449 -4.558 -3.952
Co 0.571 -7.203 -1.944
Co -0.828 -4.481 0.333
Co 1.050 -1.836 -1.675
Al 3.209 -2.836 -2.368
Al 2.867 -6.552 -2.542
Al 0.599 -6.483 0.426
Al 0.941 -2.766 0.600

! PBE NbAlCo2, relaxed; values from VASP
! - VASP energy: -7.35 eV/atom
&SYSTEM
  ibrav = 0, nat = 4, ntyp = 3
/
ATOMIC_SPECIES
Nb 92.91 Nb.upf
Co 58.93 Co.upf
Al 26.98 Al.upf
CELL_PARAMETERS angstrom
2.806 0.000 0.000
0.000 2.806 0.000
0.000 0.000 6.582
ATOMIC_POSITIONS angstrom
Nb 1.403 1.403 3.291
Co 0.000 0.000 5.105
Co 0.000 0.000 1.477
Al 1.403 1.403 0.000

! PBE Nb2Al2Co, relaxed; values from VASP
! - VASP energy: -7.12 eV/atom
&SYSTEM
  ibrav = 0, nat = 10, ntyp = 3
/
ATOMIC_SPECIES
Nb 92.91 Nb.upf
Co 58.93 Co.upf
Al 26.98 Al.upf
CELL_PARAMETERS angstrom
6.206 0.000 0.000
0.000 6.206 0.000
0.000 0.000 4.096
ATOMIC_POSITIONS angstrom
Nb 1.000 4.103 2.048
Nb 4.103 5.206 2.048
Nb 5.206 2.103 2.048
Nb 2.103 1.000 2.048
Co 0.000 0.000 0.000
Co 3.103 3.103 0.000
Al 2.194 5.297 0.000
Al 5.297 4.012 0.000
Al 4.012 0.909 0.000
Al 0.909 2.194 0.000

! PBE Nb2AlCo6, relaxed; values from VASP
! - VASP energy: -7.39 eV/atom
&SYSTEM
  ibrav = 0, nat = 9, ntyp = 3
/
ATOMIC_SPECIES
Nb 92.91 Nb.upf
Al 26.98 Al.upf
Co 58.93 Co.upf
CELL_PARAMETERS angstrom
-2.378 -0.117 -1.107
-1.129 -7.104 3.174
-0.481 5.996 3.512
ATOMIC_POSITIONS angstrom
Nb -1.185 -2.891 2.847
Nb -2.804 1.666 2.732
Al 0.000 0.000 0.000
Co -1.002 -0.321 2.183
Co -3.364 -3.280 4.458
Co -2.987 -0.904 3.396
Co -1.493 -1.974 0.302
Co -0.624 2.055 1.122
Co -2.014 -5.247 1.765

! PBE NbAlCo2, relaxed; values from VASP
! - VASP energy: -7.43 eV/atom
&SYSTEM
  ibrav = 0, nat = 4, ntyp = 3
/
ATOMIC_SPECIES
Nb 92.91 Nb.upf
Co 58.93 Co.upf
Al 26.98 Al.upf
CELL_PARAMETERS angstrom
4.212 0.240 0.162
1.901 3.769 0.000
1.901 1.405 3.498
ATOMIC_POSITIONS angstrom
Nb 6.011 4.061 2.745
Co 3.803 5.174 3.497
Co 4.007 2.707 1.830
Al 2.004 1.354 0.915

! PBE Nb2AlCo3, relaxed; values from VASP
! - VASP energy: -7.84 eV/atom
&SYSTEM
  ibrav = 0, nat = 12, ntyp = 3
/
ATOMIC_SPECIES
Nb 92.91 Nb.upf
Al 26.98 Al.upf
Co 58.93 Co.upf
CELL_PARAMETERS angstrom
-4.139 -1.901 1.874
3.818 -2.939 -1.020
2.705 1.065 7.055
ATOMIC_POSITIONS angstrom
Nb -0.289 -1.775 4.033
Nb 2.674 -1.999 3.876
Nb 3.716 -1.588 6.595
Nb -1.331 -2.186 1.313
Al 1.353 0.533 3.527
Al 0.000 0.000 0.000
Co 1.279 -1.074 1.735
Co 1.260 -0.363 5.761
Co 1.105 -2.700 6.174
Co 3.123 -2.493 1.242
Co -0.738 -1.281 6.666
Co 1.125 -3.412 2.147

Let's list ΔE_f in order: 1.05, -0.07, 0.34, 0.25, -0.31, -0.19, -0.31, -0.35, -0.17, 0.00, -0.42, -0.31 eV per atom.